! Pm3TlAu5 (GGA-PBE, relaxed); values from VASP
! Crystal system: hexagonal
! Calculated density (g/cm3): 12.6
! Size of the total moment (μB per cell): 0.00
! Calculated total energy (eV/atom): -4.359
&SYSTEM
  ibrav = 0, nat = 18, ntyp = 3
/
ATOMIC_SPECIES
Pm 145.00 Pm.upf
Tl 204.38 Tl.upf
Au 196.97 Au.upf
ATOMIC_POSITIONS crystal
Pm 0.750 0.351 0.351
Pm 0.750 0.000 0.649
Pm 0.750 0.649 0.000
Pm 0.250 0.649 0.649
Pm 0.250 0.000 0.351
Pm 0.250 0.351 0.000
Tl 0.000 0.000 0.000
Tl 0.500 0.000 0.000
Au 0.000 0.667 0.333
Au 0.500 0.333 0.667
Au 0.000 0.333 0.667
Au 0.500 0.667 0.333
Au 0.750 0.680 0.680
Au 0.750 0.000 0.320
Au 0.750 0.320 0.000
Au 0.250 0.320 0.320
Au 0.250 0.000 0.680
Au 0.250 0.680 0.000
CELL_PARAMETERS angstrom
6.274 0.000 0.000
0.000 7.692 -4.441
0.000 0.001 8.884